Compound: ZrFeAg2
Source: Alexandria
Functional: PBEsol
Structure: relaxed

- Energy of formation: 195 meV per atom
- Energy above the lowest structure with this stoichiometry: 115 meV per atom

Geometry as extended XYZ:
```
4
Lattice="0.000 3.201 3.201 3.201 0.000 3.201 3.201 3.201 0.000" Properties=species:S:1:pos:R:3 pbc="T T T"
Zr 0.000 0.000 0.000
Fe 4.801 4.801 4.801
Ag 1.600 1.600 1.600
Ag 3.201 3.201 3.201
```

---

Compound: ZrFeAg2
Source: Alexandria
Functional: PBEsol
Structure: relaxed

- Energy of formation: 81 meV per atom
- Energy above the lowest structure with this stoichiometry: 0 meV per atom

Geometry as extended XYZ:
```
4
Lattice="-1.885 1.885 4.461 1.885 -1.885 4.461 1.885 1.885 -4.461" Properties=species:S:1:pos:R:3 pbc="T T T"
Zr 0.000 0.000 0.000
Fe 0.000 0.000 4.461
Ag 1.885 0.000 2.231
Ag 0.000 1.885 2.231
```

---

Compound: ZrFe2Ag
Source: Alexandria
Functional: PBEsol
Structure: relaxed

- Energy of formation: 235 meV per atom

Geometry as extended XYZ:
```
4
Lattice="0.000 3.113 3.113 3.113 0.000 3.113 3.113 3.113 0.000" Properties=species:S:1:pos:R:3 pbc="T T T"
Zr 0.000 0.000 0.000
Fe 1.557 1.557 1.557
Fe 3.113 3.113 3.113
Ag 4.670 4.670 4.670
```

---

Compound: ZrFe3Ag
Source: Alexandria
Functional: PBEsol
Structure: relaxed

- Energy of formation: 1575 meV per atom

Geometry as extended XYZ:
```
5
Lattice="4.460 0.000 0.000 0.000 4.460 0.000 0.000 0.000 4.460" Properties=species:S:1:pos:R:3 pbc="T T T"
Zr 0.000 0.000 0.000
Fe 0.000 0.000 2.230
Fe 0.000 2.230 0.000
Fe 2.230 0.000 0.000
Ag 2.230 2.230 2.230
```

---

Compound: Zr2FeAg
Source: Alexandria
Functional: PBEsol
Structure: relaxed

- Energy of formation: -133 meV per atom
- Energy above the lowest structure with this stoichiometry: 0 meV per atom

Geometry as extended XYZ:
```
4
Lattice="3.043 0.000 0.000 0.000 3.042 0.000 -0.012 0.000 7.460" Properties=species:S:1:pos:R:3 pbc="T T T"
Zr 0.000 0.000 2.130
Zr 3.030 0.000 5.330
Fe 1.515 1.521 3.730
Ag 1.521 1.521 0.000
```

---

Compound: Zr2FeAg
Source: Alexandria
Functional: PBEsol
Structure: relaxed

- Energy of formation: 64 meV per atom
- Energy above the lowest structure with this stoichiometry: 197 meV per atom

Geometry as extended XYZ:
```
4
Lattice="3.321 0.000 0.000 0.000 3.321 0.000 0.000 0.000 6.449" Properties=species:S:1:pos:R:3 pbc="T T T"
Zr 0.000 0.000 0.000
Zr 1.661 1.661 1.932
Fe 1.661 1.661 5.134
Ag 0.000 0.000 3.608
```

---

Across the entries above, electronic total energy takes the values -5.97; -6.09; -7.35; -6.28; -7.75; -7.55 eV/atom, respectively.
Across the entries above, V takes the values 65.6; 63.4; 60.3; 88.7; 69.1; 71.1 Å³/f.u., respectively.
Across the entries above, Fermi-level density of states takes the values 5.862; 3.454; 4.216; 4.609; 3.631; 4.091 states/eV/cell, respectively.